(1)
Material: RuRh2
Method: DFT, GGA-PBE
State: relaxed

Values from the calculation:
Space group = No. 62
Formation energy from the elements = 0.03 eV/atom
Total magnetization = 0.00 μB/f.u.
Energy above the most stable polymorph in this dataset = 0.015 eV/atom

Unit cell a=5.405 b=3.832 c=8.166 alpha=90.00 beta=90.00 gamma=90.00
Element x y z (fractional)
Ru 0.121 0.250 0.078
Ru 0.379 0.750 0.578
Ru 0.621 0.250 0.422
Ru 0.879 0.750 0.922
Rh 0.125 0.250 0.755
Rh 0.126 0.250 0.416
Rh 0.374 0.750 0.916
Rh 0.375 0.750 0.255
Rh 0.625 0.250 0.745
Rh 0.626 0.250 0.084
Rh 0.874 0.750 0.584
Rh 0.875 0.750 0.245

(2)
Material: RuRh2
Method: DFT, GGA-PBE
State: relaxed

Values from the calculation:
Space group = No. 225
Formation energy from the elements = 0.64 eV/atom
Total magnetization = 1.20 μB/f.u.
Energy above the most stable polymorph in this dataset = 0.634 eV/atom

Unit cell a=4.153 b=4.153 c=4.153 alpha=60.00 beta=60.00 gamma=60.00
Element x y z (fractional)
Ru 0.000 0.000 0.000
Rh 0.250 0.250 0.250
Rh 0.750 0.750 0.750

(3)
Material: Ru2Rh
Method: DFT, GGA-PBE
State: relaxed

Values from the calculation:
Space group = No. 205
Formation energy from the elements = 1.01 eV/atom
Total magnetization = 0.00 μB/f.u.
Energy above the most stable polymorph in this dataset = 1.019 eV/atom

Unit cell a=5.934 b=5.934 c=5.934 alpha=90.00 beta=90.00 gamma=90.00
Element x y z (fractional)
Ru 0.110 0.110 0.110
Ru 0.110 0.390 0.610
Ru 0.390 0.610 0.110
Ru 0.390 0.890 0.610
Ru 0.610 0.110 0.390
Ru 0.610 0.390 0.890
Ru 0.890 0.610 0.390
Ru 0.890 0.890 0.890
Rh 0.000 0.000 0.500
Rh 0.000 0.500 0.000
Rh 0.500 0.000 0.000
Rh 0.500 0.500 0.500

(4)
Material: RuRh3
Method: DFT, GGA-PBE
State: relaxed

Values from the calculation:
Space group = No. 11
Formation energy from the elements = 0.02 eV/atom
Total magnetization = 0.00 μB/f.u.

Unit cell a=6.424 b=2.738 c=6.447 alpha=90.00 beta=94.59 gamma=90.00
Element x y z (fractional)
Ru 0.079 0.250 0.164
Ru 0.921 0.750 0.836
Rh 0.164 0.250 0.585
Rh 0.330 0.750 0.918
Rh 0.412 0.750 0.331
Rh 0.588 0.250 0.669
Rh 0.670 0.250 0.082
Rh 0.836 0.750 0.415

| no. | N(E_F) (states/eV/atom) |
| --- | --- |
| 1 | 1.088 |
| 2 | 1.542 |
| 3 | 1.497 |
| 4 | 1.214 |